Entry 1:
NaGePt | OQMD via LeMat-Bulk | PBE | relaxed; energy = -3.53 eV per atom; space-group type = F-43m, No. 216
1.0
0.000 3.120 3.120
3.120 0.000 3.120
3.120 3.120 0.000
Ge Na Pt
1 1 1
Direct
0.250 0.250 0.250 Ge
0.000 0.000 0.000 Na
0.750 0.750 0.750 Pt

=====

Entry 2:
SiAsPdO | OQMD via LeMat-Bulk | PBE | relaxed; energy = -5.52 eV per atom; space-group type = P4/nmm, No. 129
1.0
-1.343 -3.221 1.153
-0.650 -0.976 -3.483
8.540 -3.755 -0.542
As O Pd Si
2 2 2 2
Direct
0.000 0.500 0.316 As
0.500 0.000 0.684 As
0.000 0.000 0.000 O
0.500 0.500 0.000 O
0.000 0.000 0.500 Pd
0.500 0.500 0.500 Pd
0.500 0.000 0.098 Si
0.000 0.500 0.902 Si

=====

Entry 3:
PrSmCu2B2N2 | OQMD via LeMat-Bulk | PBE | relaxed; energy = -6.65 eV per atom; space-group type = P4mm, No. 99
1.0
-0.162 0.610 -3.581
-3.623 0.222 0.202
0.541 7.667 1.281
B Cu N Pr Sm
2 2 2 1 1
Direct
0.500 0.500 0.331 B
0.000 0.000 0.668 B
0.500 0.000 0.501 Cu
0.000 0.500 0.501 Cu
0.500 0.500 0.146 N
0.000 0.000 0.852 N
0.000 0.000 0.169 Pr
0.500 0.500 0.832 Sm

=====

Entry 4:
Ba2AgBiO6 | OQMD via LeMat-Bulk | PBE | relaxed; energy = -5.48 eV per atom; space-group type = P-1, No. 2
1.0
5.985 0.000 0.000
0.003 5.986 0.000
0.000 0.001 8.473
Ag Ba Bi O
2 4 2 12
Direct
0.550 0.550 0.000 Ag
0.050 0.050 0.500 Ag
0.050 0.550 0.250 Ba
0.550 0.050 0.250 Ba
0.050 0.550 0.750 Ba
0.550 0.050 0.750 Ba
0.050 0.050 0.000 Bi
0.550 0.550 0.500 Bi
0.297 0.303 0.000 O
0.303 0.803 0.001 O
0.049 0.050 0.250 O
0.551 0.549 0.250 O
0.295 0.795 0.499 O
0.305 0.295 0.500 O
0.795 0.804 0.500 O
0.805 0.305 0.501 O
0.549 0.550 0.750 O
0.051 0.050 0.750 O
0.797 0.298 0.999 O
0.802 0.798 0.000 O

=====

Entry 5:
PmPb2 | OQMD via LeMat-Bulk | PBE | relaxed; energy = -2.87 eV per atom; space-group type = Fd-3m, No. 227
1.0
1.381 -4.728 8.703
3.484 5.017 7.918
-6.024 1.924 7.746
Pb Pm
4 2
Direct
0.375 0.375 0.375 Pb
0.875 0.375 0.375 Pb
0.375 0.875 0.375 Pb
0.375 0.375 0.875 Pb
0.250 0.250 0.250 Pm
0.500 0.500 0.500 Pm

=====

Entry 6:
Si2MoAs | OQMD via LeMat-Bulk | PBE | relaxed; energy = -6.14 eV per atom; space-group type = F-43m, No. 216
1.0
2.452 -3.311 1.579
1.251 0.004 4.231
-1.761 -2.897 2.824
As Mo Si
1 1 2
Direct
0.500 0.500 0.500 As
0.250 0.250 0.250 Mo
0.000 0.000 0.000 Si
0.750 0.750 0.750 Si

=====

Entry 7:
PuGaCu | OQMD via LeMat-Bulk | PBE | relaxed; energy = -6.97 eV per atom; space-group type = F-43m, No. 216
1.0
0.000 3.158 3.158
3.158 0.000 3.158
3.158 3.158 0.000
Cu Ga Pu
1 1 1
Direct
0.000 0.000 0.000 Cu
0.250 0.250 0.250 Ga
0.750 0.750 0.750 Pu

=====

Entry 8:
BaGdTlS3 | OQMD via LeMat-Bulk | PBE | relaxed; energy = -5.02 eV per atom; space-group type = Cmcm, No. 63
1.0
3.534 7.177 0.198
-5.362 -4.986 -3.228
-8.102 3.780 7.621
Ba Gd S Tl
2 2 6 2
Direct
0.158 0.842 0.250 Ba
0.842 0.158 0.750 Ba
0.500 0.500 0.000 Gd
0.500 0.500 0.500 Gd
0.117 0.883 0.002 S
0.505 0.495 0.250 S
0.117 0.883 0.498 S
0.883 0.117 0.502 S
0.495 0.505 0.750 S
0.883 0.117 0.998 S
0.870 0.130 0.250 Tl
0.130 0.870 0.750 Tl